1.
Computed, not measured: a geometry-optimized LaAgPbCl6 structure at the GGA-PBE level of DFT.

Cell lengths 7.0125, 7.0125, 13.0353 Å; angles 90.00, 90.00, 120.00 degrees
Positions (direct):
Cl 0.3429 0.0014 0.6285
Cl 0.0014 0.3429 0.1285
Cl 0.6586 0.6571 0.6285
Cl 0.3414 0.3429 0.3715
Cl 0.0014 0.6586 0.3715
Cl 0.3429 0.3414 0.8715
Cl 0.9986 0.6571 0.8715
Cl 0.9986 0.3414 0.6285
Cl 0.6571 0.9986 0.3715
Cl 0.6571 0.6586 0.1285
Cl 0.3414 0.9986 0.1285
Cl 0.6586 0.0014 0.8715
Ag 0.3333 0.6667 0.2500
Ag 0.6667 0.3333 0.7500
Pb 0.0000 0.0000 0.0000
Pb 0.0000 0.0000 0.5000
La 0.3333 0.6667 0.7500
La 0.6667 0.3333 0.2500

Summary:
The uncorrected formation energy comes out at -1.5255 eV/atom.


2.
Computed, not measured: a geometry-optimized SrIn3Ge structure at the GGA-PBE level of DFT.

Cell lengths 6.0470, 6.0470, 6.0470 Å; angles 90.00, 90.00, 90.00 degrees
Positions (direct):
Ge 0.5000 0.5000 0.5000
In 0.5000 0.0000 0.0000
In 0.0000 0.5000 0.0000
In 0.0000 0.0000 0.5000
Sr 0.0000 0.0000 0.0000

Summary:
The calculation puts the formation energy at 0.956 eV per atom. The calculation puts the energy above the most stable polymorph in this dataset at 1.161 eV/atom.


3.
Computed, not measured: a geometry-optimized InBiP2 structure at the GGA-PBE level of DFT.

Cell lengths 4.9751, 4.9751, 4.9751 Å; angles 60.00, 60.00, 60.00 degrees
Positions (direct):
In 0.0000 0.0000 0.0000
Bi 0.5000 0.5000 0.5000
P 0.7500 0.7500 0.7500
P 0.2500 0.2500 0.2500

Summary:
The calculation puts the formation energy at 0.415 eV per atom. The calculation puts the energy above the most stable polymorph in this dataset at 0.284 eV/atom.


4.
Computed, not measured: a geometry-optimized LiTc2Sn2 structure at the GGA-PBE level of DFT.

Cell lengths 7.4725, 7.4725, 3.3112 Å; angles 90.00, 90.00, 90.00 degrees
Site moments in Bohr magnetons follow the coordinates.
Positions (direct):
Sn 0.1606 0.6606 0.5000  -0.03
Sn 0.6606 0.8394 0.5000  -0.03
Sn 0.3394 0.1606 0.5000  -0.03
Sn 0.8394 0.3394 0.5000  -0.03
Tc 0.6354 0.1354 0.0000  0.55
Tc 0.1354 0.3646 0.0000  0.51
Tc 0.8646 0.6354 0.0000  0.51
Tc 0.3646 0.8646 0.0000  0.55
Li 0.0000 0.0000 0.0000  0.00
Li 0.5000 0.5000 0.0000  0.00

Summary:
The calculation puts the formation energy at 0.154 eV per atom. The calculation puts the energy above the most stable polymorph in this dataset at 0.000 eV/atom.


5.
Computed, not measured: a geometry-optimized DyAlRh2 structure at the GGA-PBE level of DFT.

Cell lengths 3.2401, 3.2401, 6.3996 Å; angles 90.00, 90.00, 90.00 degrees
Positions (direct):
Al 0.5000 0.5000 0.0000
Dy 0.5000 0.5000 0.5000
Rh 0.0000 0.0000 0.7812
Rh 0.0000 0.0000 0.2188

Summary:
The calculation puts the formation energy at -0.880 eV per atom.


6.
Computed, not measured: a geometry-optimized MoPdBr3 structure at the GGA-PBE level of DFT.

Cell lengths 5.2375, 5.2375, 5.2375 Å; angles 90.00, 90.00, 90.00 degrees
Site moments in Bohr magnetons follow the coordinates.
Positions (direct):
Br 0.5000 0.0000 0.0000  0.07
Br 0.0000 0.0000 0.5000  0.02
Br 0.0000 0.5000 0.0000  0.02
Pd 0.5000 0.5000 0.5000  -0.30
Mo 0.0000 0.0000 0.0000  2.75

Summary:
The uncorrected formation energy comes out at 0.3860 eV/atom. The calculation puts the energy above the most stable polymorph in this dataset at 0.000 eV/atom.